Here is a relaxed LiTl2Pb8 crystal from Alexandria via LeMat-Bulk. Energies are from GGA-PBE.

- crystal system = monoclinic
- calculated formation energy (kJ/mol of atoms) = -3.4
- E above lowest polymorph (meV per atom) = 0.0
- Fermi-level density of states (states/eV/cell) = 10.61

Geometry as CIF:
```
data_LiTl2Pb8
_chemical_formula_sum 'Li2 Tl4 Pb16'
_cell_length_a 18.056
_cell_length_b 4.853
_cell_length_c 7.845
_cell_angle_alpha 90.00
_cell_angle_beta 103.97
_cell_angle_gamma 90.00
_space_group_name_H-M_alt 'C 1 2/m 1'
_space_group_IT_number 12
_space_group_name_Hall '-C 2y'
loop_
_atom_site_label
_atom_site_fract_x
_atom_site_fract_y
_atom_site_fract_z
Li1 0.000 0.000 0.000
Tl1 0.227 0.500 0.635
Pb1 0.045 0.500 0.743
Pb2 0.087 0.000 0.455
Pb3 0.132 0.500 0.176
Pb4 0.178 0.000 0.915
```



Here is a relaxed LiTlPb6 crystal from Alexandria via LeMat-Bulk. Energies are from GGA-PBE.

- crystal system = tetragonal
- calculated formation energy (kJ/mol of atoms) = -4.8
- Fermi-level density of states (states/eV/cell) = 3.36

Geometry as CIF:
```
data_LiTlPb6
_chemical_formula_sum 'Li1 Tl1 Pb6'
_cell_length_a 4.878
_cell_length_b 4.878
_cell_length_c 10.028
_cell_angle_alpha 90.00
_cell_angle_beta 90.00
_cell_angle_gamma 90.00
_space_group_name_H-M_alt 'P 4/m m m'
_space_group_IT_number 123
_space_group_name_Hall '-P 4 2'
loop_
_atom_site_label
_atom_site_fract_x
_atom_site_fract_y
_atom_site_fract_z
Li1 0.000 0.000 0.000
Tl1 0.000 0.000 0.500
Pb1 0.000 0.500 0.239
Pb2 0.500 0.500 0.000
Pb3 0.500 0.500 0.500
```



Here is a relaxed LiTlPb2 crystal from Alexandria via LeMat-Bulk. Energies are from GGA-PBE.

- crystal system = orthorhombic
- calculated formation energy (kJ/mol of atoms) = -9.0
- Fermi-level density of states (states/eV/cell) = 5.57

Geometry as CIF:
```
data_LiTlPb2
_chemical_formula_sum 'Li4 Tl4 Pb8'
_cell_length_a 4.885
_cell_length_b 11.138
_cell_length_c 8.179
_cell_angle_alpha 90.00
_cell_angle_beta 90.00
_cell_angle_gamma 90.00
_space_group_name_H-M_alt 'C m c m'
_space_group_IT_number 63
_space_group_name_Hall '-C 2c 2'
loop_
_atom_site_label
_atom_site_fract_x
_atom_site_fract_y
_atom_site_fract_z
Li1 0.000 0.208 0.250
Tl1 0.000 0.064 0.750
Pb1 0.000 0.354 0.549
```



Here is a relaxed LiTl6Pb2 crystal from Alexandria via LeMat-Bulk. Energies are from GGA-PBE.

- crystal system = hexagonal
- calculated formation energy (kJ/mol of atoms) = -1.6
- E above lowest polymorph (meV per atom) = 0.0
- Fermi-level density of states (states/eV/cell) = 5.43

Geometry as CIF:
```
data_LiTl6Pb2
_chemical_formula_sum 'Li1 Tl6 Pb2'
_cell_length_a 3.5235
_cell_length_b 3.5235
_cell_length_c 24.6799
_cell_angle_alpha 90.00
_cell_angle_beta 90.00
_cell_angle_gamma 120.00
_space_group_name_H-M_alt 'P -6 m 2'
_space_group_IT_number 187
_space_group_name_Hall 'P -6 2'
loop_
_atom_site_label
_atom_site_fract_x
_atom_site_fract_y
_atom_site_fract_z
Li1 0.0000 0.0000 0.0000
Tl1 0.0000 0.0000 0.2011
Tl2 0.0000 0.0000 0.4335
Tl3 0.3333 0.6667 0.0898
Pb1 0.3333 0.6667 0.3176
```



Here is a relaxed Li2TlPb3 crystal from Alexandria via LeMat-Bulk. Energies are from GGA-PBE.

- crystal system = monoclinic
- calculated formation energy (kJ/mol of atoms) = -12.7
- Fermi-level density of states (states/eV/cell) = 8.83

Geometry as CIF:
```
data_Li2TlPb3
_chemical_formula_sum 'Li8 Tl4 Pb12'
_cell_length_a 6.395
_cell_length_b 11.078
_cell_length_c 8.908
_cell_angle_alpha 90.00
_cell_angle_beta 95.52
_cell_angle_gamma 90.00
_space_group_name_H-M_alt 'C 1 2/c 1'
_space_group_IT_number 15
_space_group_name_Hall '-C 2yc'
loop_
_atom_site_label
_atom_site_fract_x
_atom_site_fract_y
_atom_site_fract_z
Li1 0.175 0.120 0.440
Tl1 0.000 0.094 0.750
Pb1 0.000 0.338 0.250
Pb2 0.170 0.377 0.901
```



Here is a relaxed Li8Tl5Pb crystal from Alexandria via LeMat-Bulk. Energies are from GGA-PBE.

- crystal system = tetragonal
- calculated formation energy (kJ/mol of atoms) = -15.3
- Fermi-level density of states (states/eV/cell) = 12.58

Geometry as CIF:
```
data_Li8Tl5Pb
_chemical_formula_sum 'Li16 Tl10 Pb2'
_cell_length_a 8.405
_cell_length_b 8.405
_cell_length_c 8.486
_cell_angle_alpha 90.00
_cell_angle_beta 90.00
_cell_angle_gamma 90.00
_space_group_name_H-M_alt 'I -4'
_space_group_IT_number 82
_space_group_name_Hall 'I -4'
loop_
_atom_site_label
_atom_site_fract_x
_atom_site_fract_y
_atom_site_fract_z
Li1 0.071 0.167 0.321
Li2 0.096 0.327 0.985
Tl1 0.000 0.500 0.250
Tl2 0.123 0.278 0.649
Pb1 0.000 0.000 0.000
```



Here is a relaxed LiTl6Pb crystal from Alexandria via LeMat-Bulk. Energies are from GGA-PBE.

- crystal system = tetragonal
- calculated formation energy (kJ/mol of atoms) = -1.8
- E above lowest polymorph (meV per atom) = 5.2
- Fermi-level density of states (states/eV/cell) = 3.18

Geometry as CIF:
```
data_LiTl6Pb
_chemical_formula_sum 'Li1 Tl6 Pb1'
_cell_length_a 4.851
_cell_length_b 4.851
_cell_length_c 9.862
_cell_angle_alpha 90.00
_cell_angle_beta 90.00
_cell_angle_gamma 90.00
_space_group_name_H-M_alt 'P 4/m m m'
_space_group_IT_number 123
_space_group_name_Hall '-P 4 2'
loop_
_atom_site_label
_atom_site_fract_x
_atom_site_fract_y
_atom_site_fract_z
Li1 0.000 0.000 0.000
Tl1 0.000 0.500 0.238
Tl2 0.500 0.500 0.000
Tl3 0.500 0.500 0.500
Pb1 0.000 0.000 0.500
```



Here is a relaxed Li6TlPb crystal from Alexandria via LeMat-Bulk. Energies are from GGA-PBE.

- crystal system = hexagonal
- calculated formation energy (kJ/mol of atoms) = -22.5
- E above lowest polymorph (meV per atom) = 38.3
- Fermi-level density of states (states/eV/cell) = 3.28

Geometry as CIF:
```
data_Li6TlPb
_chemical_formula_sum 'Li6 Tl1 Pb1'
_cell_length_a 6.0335
_cell_length_b 6.0335
_cell_length_c 4.8637
_cell_angle_alpha 90.00
_cell_angle_beta 90.00
_cell_angle_gamma 120.00
_space_group_name_H-M_alt 'P -6 m 2'
_space_group_IT_number 187
_space_group_name_Hall 'P -6 2'
loop_
_atom_site_label
_atom_site_fract_x
_atom_site_fract_y
_atom_site_fract_z
Li1 0.0128 0.5064 0.0000
Li2 0.3261 0.1631 0.5000
Tl1 0.0000 0.0000 0.0000
Pb1 0.3333 0.6667 0.5000
```



> Which formula does entry 1 have?

LiTl2Pb8



Copy entry 2 word for word.
Here is a relaxed LiTlPb6 crystal from Alexandria via LeMat-Bulk. Energies are from GGA-PBE.

- crystal system = tetragonal
- calculated formation energy (kJ/mol of atoms) = -4.8
- Fermi-level density of states (states/eV/cell) = 3.36

Geometry as CIF:
```
data_LiTlPb6
_chemical_formula_sum 'Li1 Tl1 Pb6'
_cell_length_a 4.878
_cell_length_b 4.878
_cell_length_c 10.028
_cell_angle_alpha 90.00
_cell_angle_beta 90.00
_cell_angle_gamma 90.00
_space_group_name_H-M_alt 'P 4/m m m'
_space_group_IT_number 123
_space_group_name_Hall '-P 4 2'
loop_
_atom_site_label
_atom_site_fract_x
_atom_site_fract_y
_atom_site_fract_z
Li1 0.000 0.000 0.000
Tl1 0.000 0.000 0.500
Pb1 0.000 0.500 0.239
Pb2 0.500 0.500 0.000
Pb3 0.500 0.500 0.500
```



> Which value of Fermi-level density of states does entry 8 give?

3.28 states/eV/cell



What did the sixth record say?
Here is a relaxed Li8Tl5Pb crystal from Alexandria via LeMat-Bulk. Energies are from GGA-PBE.

- crystal system = tetragonal
- calculated formation energy (kJ/mol of atoms) = -15.3
- Fermi-level density of states (states/eV/cell) = 12.58

Geometry as CIF:
```
data_Li8Tl5Pb
_chemical_formula_sum 'Li16 Tl10 Pb2'
_cell_length_a 8.405
_cell_length_b 8.405
_cell_length_c 8.486
_cell_angle_alpha 90.00
_cell_angle_beta 90.00
_cell_angle_gamma 90.00
_space_group_name_H-M_alt 'I -4'
_space_group_IT_number 82
_space_group_name_Hall 'I -4'
loop_
_atom_site_label
_atom_site_fract_x
_atom_site_fract_y
_atom_site_fract_z
Li1 0.071 0.167 0.321
Li2 0.096 0.327 0.985
Tl1 0.000 0.500 0.250
Tl2 0.123 0.278 0.649
Pb1 0.000 0.000 0.000
```